Record 1
A relaxed structure of TmNpAl. Source: the Alexandria database, functional PBE.

Cell: 5.028 3.546 7.746 Å, 90.00 99.12 90.00°
Atoms (fractional coordinates):
Tm: 0.039 0.250 0.181
Tm: 0.961 0.750 0.819
Np: 0.340 0.750 0.513
Np: 0.660 0.250 0.487
Al: 0.475 0.250 0.859
Al: 0.525 0.750 0.141

As for the symmetry: P2_1/m (11). The calculation puts the calculated formation energy at -0.072 eV per formula unit.



Record 2
A relaxed structure of TmNpAl6. Source: the Alexandria database, functional PBE.

Cell: 6.128 6.128 4.683 Å, 90.00 90.00 120.00°
Atoms (fractional coordinates):
Tm: 0.000 0.000 0.000
Np: 0.333 0.667 0.500
Al: 0.360 0.180 0.500
Al: 0.513 0.025 0.000
Al: 0.513 0.487 0.000
Al: 0.820 0.180 0.500
Al: 0.820 0.640 0.500
Al: 0.975 0.487 0.000

As for the symmetry: P-6m2 (187). The calculation puts the calculated formation energy at -2.078 eV per formula unit.



Record 3
A relaxed structure of Tm2NpAl9. Source: the Alexandria database, functional PBE.

Cell: 9.331 9.331 9.331 Å, 34.25 34.25 34.25°
Atoms (fractional coordinates):
Tm: 0.140 0.140 0.140
Tm: 0.860 0.860 0.860
Np: 0.000 0.000 0.000
Al: 0.078 0.586 0.586
Al: 0.335 0.335 0.335
Al: 0.414 0.414 0.922
Al: 0.414 0.922 0.414
Al: 0.500 0.500 0.500
Al: 0.586 0.078 0.586
Al: 0.586 0.586 0.078
Al: 0.665 0.665 0.665
Al: 0.922 0.414 0.414

As for the symmetry: R-3m (166). The calculation puts the calculated formation energy at -3.224 eV per formula unit.



Record 4
A relaxed structure of NpUAl. Source: the Alexandria database, functional PBE.

Cell: 5.456 5.456 5.456 Å, 143.50 143.50 52.57°
Atoms (fractional coordinates):
Np: 0.000 0.000 0.000
U: 0.605 0.605 0.000
Al: 0.302 0.302 0.000

As for the symmetry: I4mm (107). The calculation puts the calculated formation energy at 0.041 eV per formula unit.



Number 1: Fermi-level density of states 9.25 states/eV per cell. Number 2: Fermi-level density of states 12.09 states/eV per cell. Number 3: Fermi-level density of states 14.84 states/eV per cell. Number 4: Fermi-level density of states 5.83 states/eV per cell.